Entry from the Alexandria database: a relaxed structure of SrFe5O6 (GGA+U).

Cell lengths 5.5619, 5.5619, 5.5170 Å; angles 98.82, 98.82, 120.10 degrees
Element x y z (fractional)
1 Sr 0.0000 0.0000 0.0000
2 Fe 0.1713 0.8287 0.5000
3 Fe 0.3306 0.6694 0.0000
4 Fe 0.5000 0.5000 0.5000
5 Fe 0.6694 0.3306 0.0000
6 Fe 0.8287 0.1713 0.5000
7 O 0.0959 0.4604 0.2502
8 O 0.2582 0.2582 0.7144
9 O 0.4604 0.0959 0.2502
10 O 0.5396 0.9041 0.7498
11 O 0.7418 0.7418 0.2856
12 O 0.9041 0.5396 0.7498

Computed properties:
* total energy: -6.521 eV per atom